[1]
Computed, not measured: an optimized crystal structure of Ti2Co17 at the PBE-GGA level of DFT.

Output
- formation enthalpy at 0 K (eV/atom) = 0.00

Unit cell a=8.0657 b=8.0657 c=11.9784 alpha=90.00 beta=90.00 gamma=120.00
Space group R-3m (No. 166, hexagonal axes)
One atom of each set of equivalent atoms:
Ti 0.0000 0.0000 0.1660
Co 0.0000 0.0000 0.4002
Co 0.0000 0.2995 0.5000
Co 0.0000 0.5000 0.0000
Co 0.0052 0.5026 0.6502


[2]
Computed, not measured: an optimized crystal structure of TaTl2Cu at the PBE-GGA level of DFT.

Output
- polymorph energy (0 for the lowest one) (meV per atom) = 0.0
- formation enthalpy at 0 K (eV/atom) = 0.43

Unit cell a=4.350 b=4.359 c=9.099 alpha=90.00 beta=90.00 gamma=90.00
Space group Cmm2 (No. 35)
One atom of each set of equivalent atoms:
Ta 0.000 0.000 0.000
Tl 0.000 0.000 0.585
Tl 0.000 0.500 0.252
Cu 0.000 0.500 0.825


[3]
Computed, not measured: an optimized crystal structure of Li3HBr at the PBE-GGA level of DFT.

Output
- polymorph energy (0 for the lowest one) (meV per atom) = 425.2

Unit cell a=4.870 b=4.870 c=4.870 alpha=90.00 beta=90.00 gamma=90.00
Space group Pm-3m (No. 221)
One atom of each set of equivalent atoms:
Li 0.000 0.000 0.500
H 0.500 0.500 0.500
Br 0.000 0.000 0.000


In the order shown, the computed energy values come out to -7.1921 -4.7415 -2.2463 eV per atom.
In the order shown, the computed M_tot values come out to 70.50 0.00 0.00 Bohr magnetons per cell.
In the order shown, the computed V values come out to 11.84 21.57 23.11 A^3/atom.